(1)
Entry from the Alexandria database: a relaxed SiNiAg crystal (PBE).

abc: 4.1201 4.1201 4.1201
angles: 60.00 60.00 60.00
Sites, in units of the cell vectors:
Ag 0.7500 0.7500 0.7500
Ni 0.0000 0.0000 0.0000
Si 0.5000 0.5000 0.5000

Properties
Space-group type ... F-43m
Size of the total moment ... 0.000 Bohr magnetons per cell
Energy relative to the elements, uncorrected ... 471 meV/atom

***

(2)
Entry from the Alexandria database: a relaxed Fe2TcP crystal (PBE).

abc: 7.8023 7.8023 7.8023
angles: 20.25 20.25 20.25
Each line ends with the local moment (μB).
Sites, in units of the cell vectors:
Fe 0.9960 0.9960 0.9960  2.47
Fe 0.2440 0.2440 0.2440  1.27
P 0.5044 0.5044 0.5044  -0.03
Tc 0.7556 0.7556 0.7556  -0.07

Properties
Space-group type ... R3m
Energy of formation from the pure elements ... 0.2 eV per formula unit
Size of the total moment ... 3.593 Bohr magnetons per cell

***

(3)
Entry from the Alexandria database: a relaxed ZrClF3 crystal (PBE).

abc: 4.1994 4.1994 4.1994
angles: 90.00 90.00 90.00
Sites, in units of the cell vectors:
F 0.0000 0.5000 0.0000
F 0.0000 0.0000 0.5000
F 0.5000 0.0000 0.0000
Zr 0.0000 0.0000 0.0000
Cl 0.5000 0.5000 0.5000

Properties
Space-group type ... Pm-3m
Size of the total moment ... 0.000 Bohr magnetons per cell
Energy relative to the elements, uncorrected ... -2814 meV/atom

***

(4)
Entry from the Alexandria database: a relaxed ZnRuSe2 crystal (PBE).

abc: 3.2509 3.2553 7.1731
angles: 90.00 90.00 90.00
Each line ends with the local moment (μB).
Sites, in units of the cell vectors:
Ru 0.5000 0.5000 0.7334  0.39
Se 0.0000 0.0000 0.9058  0.00
Se 0.5000 0.5000 0.3508  0.00
Zn 0.0000 0.0000 0.5100  -0.01

Properties
Space-group type ... P4mm
Size of the total moment ... 0.389 Bohr magnetons per cell
Energy relative to the elements, uncorrected ... 13 meV/atom